Material: Ba2Li3Pt2
Method: DFT, PBE
State: optimized geometry

Calculated values
- energy of formation from the pure elements (eV/atom) = -0.47
- total moment (μB per cell) = 0.000
- density of states at the Fermi level (states/eV/atom) = 0.47
- V (Å³/f.u.) = 174
- symmetry = C2/m

a b c (Å): 4.3796 6.1651 7.7064
angles (deg): 114.85 90.00 110.81
Fractional coordinates of all 7 atoms:
Li 0.6666 0.3332 0.4237
Ba 0.8657 0.7314 0.2263
Pt 0.8600 0.7200 0.8030
Li 0.3334 0.6668 0.5763
Pt 0.1400 0.2800 0.1970
Ba 0.1343 0.2686 0.7737
Li 0.5000 0.0000 0.0000